(1)
# Ac8Dy2Ho

A relaxed Ac8Dy2Ho crystal (GGA-PBE, the Alexandria database).

a = 5.807 Å, b = 9.598 Å, c = 10.010 Å
α = 118.65°, β = 106.86°, γ = 90.00°
Sites, in units of the cell vectors:
1 Ac 0.655 0.866 0.309
2 Ac 0.345 0.557 0.691
3 Ac 0.148 0.148 0.296
4 Ac 0.000 0.307 0.000
5 Ac 0.852 0.852 0.704
6 Ac 0.655 0.443 0.309
7 Ac 0.345 0.134 0.691
8 Ac 0.000 0.693 0.000
9 Ho 0.500 0.000 0.000
10 Dy 0.203 0.703 0.406
11 Dy 0.797 0.297 0.594

Calculated values
* density: 8.3 g/cm3
* energy of formation from the pure elements: 1.54 eV/f.u.

(2)
# BaTl8In4

A relaxed BaTl8In4 crystal (GGA-PBE, the Alexandria database).

a = 6.279 Å, b = 8.625 Å, c = 8.625 Å
α = 82.39°, β = 68.65°, γ = 68.65°
Sites, in units of the cell vectors:
1 Ba 0.000 0.000 0.000
2 Tl 0.000 0.355 0.645
3 Tl 0.000 0.645 0.355
4 Tl 0.355 0.645 0.645
5 Tl 0.645 0.355 0.355
6 Tl 0.500 0.789 0.211
7 Tl 0.500 0.211 0.789
8 Tl 0.289 0.211 0.211
9 Tl 0.711 0.789 0.789
10 In 0.000 0.000 0.500
11 In 0.500 0.000 0.500
12 In 0.000 0.500 0.000
13 In 0.500 0.500 0.000

Calculated values
* density: 9.1 g/cm3
* energy of formation from the pure elements: -1.03 eV/f.u.

(3)
# NaSr2HfN

A relaxed NaSr2HfN crystal (GGA-PBE, the Alexandria database).

a = 6.114 Å, b = 4.095 Å, c = 6.114 Å
α = 90.00°, β = 90.00°, γ = 90.00°
Each line ends with the local moment (μB).
Sites, in units of the cell vectors:
1 Sr 0.000 0.000 0.500  0.10
2 Sr 0.500 0.000 0.000  0.10
3 N 0.000 0.500 0.000  -0.09
4 Hf 0.500 0.500 0.500  1.14
5 Na 0.000 0.000 0.000  0.00

Calculated values
* density: 4.2 g/cm3
* energy relative to the elements, uncorrected: 1.195 eV per atom

(4)
# Dy3HoCd2

A relaxed Dy3HoCd2 crystal (GGA-PBE, the Alexandria database).

a = 3.631 Å, b = 3.631 Å, c = 12.779 Å
α = 90.00°, β = 90.00°, γ = 90.00°
Sites, in units of the cell vectors:
1 Dy 0.000 0.000 0.000
2 Dy 0.000 0.000 0.691
3 Dy 0.000 0.000 0.309
4 Ho 0.500 0.500 0.500
5 Cd 0.500 0.500 0.847
6 Cd 0.500 0.500 0.153

Calculated values
* density: 8.6 g/cm3
* energy of formation from the pure elements: -1.16 eV/f.u.

(5)
# RbY3Mn

A relaxed RbY3Mn crystal (GGA-PBE, the Alexandria database).

a = 5.458 Å, b = 5.458 Å, c = 5.458 Å
α = 90.00°, β = 90.00°, γ = 90.00°
Each line ends with the local moment (μB).
Sites, in units of the cell vectors:
1 Y 0.000 0.500 0.000  -0.01
2 Y 0.000 0.000 0.500  0.04
3 Y 0.500 0.000 0.000  -0.05
4 Mn 0.500 0.500 0.500  4.30
5 Rb 0.000 0.000 0.000  0.03

Calculated values
* density: 4.2 g/cm3
* E above lowest polymorph: 1158 meV per atom
* energy of formation from the pure elements: 7.93 eV/f.u.

(6)
# Ca2ScBe2

A relaxed Ca2ScBe2 crystal (GGA-PBE, the Alexandria database).

a = 3.197 Å, b = 3.197 Å, c = 11.305 Å
α = 81.87°, β = 81.87°, γ = 90.00°
Each line ends with the local moment (μB).
Sites, in units of the cell vectors:
1 Sc 0.000 0.000 0.000  0.34
2 Be 0.750 0.250 0.500  0.01
3 Be 0.250 0.750 0.500  0.01
4 Ca 0.372 0.372 0.255  0.03
5 Ca 0.628 0.628 0.745  0.03

Calculated values
* density: 2.1 g/cm3
* E above lowest polymorph: 0 meV per atom
* energy of formation from the pure elements: 2.40 eV/f.u.

(7)
# Sm8HgGe3Te4

A relaxed Sm8HgGe3Te4 crystal (GGA-PBE, the Alexandria database).

a = 8.686 Å, b = 8.826 Å, c = 8.686 Å
α = 119.48°, β = 120.00°, γ = 90.00°
Sites, in units of the cell vectors:
1 Sm 0.250 0.733 0.982
2 Sm 0.250 0.733 0.501
3 Sm 0.260 0.279 0.520
4 Sm 0.732 0.733 0.982
5 Sm 0.268 0.267 0.018
6 Sm 0.740 0.721 0.480
7 Sm 0.750 0.267 0.499
8 Sm 0.750 0.267 0.018
9 Hg 0.000 0.500 0.000
10 Ge 0.500 0.500 0.000
11 Ge 0.500 0.500 0.500
12 Ge 0.000 0.500 0.500
13 Te 0.500 0.000 0.000
14 Te 0.500 0.000 0.500
15 Te 0.000 0.000 0.000
16 Te 0.000 0.000 0.500

Calculated values
* density: 7.5 g/cm3
* energy relative to the elements, uncorrected: -1.119 eV per atom

(8)
# BiH2PdW

A relaxed BiH2PdW crystal (GGA-PBE, the Alexandria database).

a = 3.809 Å, b = 5.565 Å, c = 3.809 Å
α = 90.00°, β = 90.00°, γ = 90.00°
Each line ends with the local moment (μB).
Sites, in units of the cell vectors:
1 H 0.000 0.000 0.500  -0.02
2 H 0.500 0.000 0.000  -0.01
3 Pd 0.500 0.500 0.500  0.00
4 Bi 0.000 0.500 0.000  -0.06
5 W 0.000 0.000 0.000  1.54

Calculated values
* calculated total energy: -5.00 eV/atom
* density: 10.3 g/cm3

(9)
# TiGeSe4

A relaxed TiGeSe4 crystal (GGA-PBE, the Alexandria database).

a = 5.811 Å, b = 5.811 Å, c = 10.225 Å
α = 90.00°, β = 90.00°, γ = 90.00°
Sites, in units of the cell vectors:
1 Ti 0.000 0.000 0.000
2 Ti 0.000 0.000 0.500
3 Ge 0.000 0.500 0.250
4 Ge 0.500 0.000 0.750
5 Se 0.265 0.249 0.883
6 Se 0.735 0.751 0.883
7 Se 0.249 0.265 0.383
8 Se 0.265 0.751 0.617
9 Se 0.735 0.249 0.617
10 Se 0.249 0.735 0.117
11 Se 0.751 0.265 0.117
12 Se 0.751 0.735 0.383

Calculated values
* density: 4.2 g/cm3
* energy relative to the elements, uncorrected: -0.520 eV per atom

(10)
# Pm2SmPu

A relaxed Pm2SmPu crystal (GGA-PBE, the Alexandria database).

a = 3.609 Å, b = 3.609 Å, c = 11.811 Å
α = 81.21°, β = 81.21°, γ = 60.00°
Each line ends with the local moment (μB).
Sites, in units of the cell vectors:
1 Pm 0.081 0.081 0.756  0.01
2 Pm 0.252 0.252 0.244  0.05
3 Sm 0.500 0.500 0.499  -0.04
4 Pu 0.667 0.667 0.000  5.61

Calculated values
* density: 8.7 g/cm3
* E above lowest polymorph: 9 meV per atom
* energy of formation from the pure elements: 0.49 eV/f.u.

(11)
# Sm2InCu3

A relaxed Sm2InCu3 crystal (GGA-PBE, the Alexandria database).

a = 5.769 Å, b = 5.769 Å, c = 8.657 Å
α = 105.23°, β = 105.23°, γ = 102.21°
Sites, in units of the cell vectors:
1 Sm 0.250 0.750 0.500
2 Sm 0.763 0.763 0.000
3 Sm 0.750 0.250 0.500
4 Sm 0.237 0.237 0.000
5 In 0.665 0.665 0.330
6 In 0.335 0.335 0.670
7 Cu 0.323 0.837 0.160
8 Cu 0.163 0.677 0.840
9 Cu 0.677 0.163 0.840
10 Cu 0.837 0.323 0.160
11 Cu 0.163 0.163 0.326
12 Cu 0.837 0.837 0.674

Calculated values
* density: 7.9 g/cm3
* energy of formation from the pure elements: -1.38 eV/f.u.

(12)
# Tb2SmHg4

A relaxed Tb2SmHg4 crystal (GGA-PBE, the Alexandria database).

a = 5.691 Å, b = 5.691 Å, c = 8.714 Å
α = 109.06°, β = 109.06°, γ = 90.00°
Sites, in units of the cell vectors:
1 Tb 0.601 0.601 0.202
2 Tb 0.399 0.399 0.798
3 Sm 0.000 0.000 0.000
4 Hg 0.799 0.799 0.599
5 Hg 0.201 0.201 0.401
6 Hg 0.000 0.500 0.000
7 Hg 0.500 0.000 0.000

Calculated values
* density: 8.4 g/cm3
* E above lowest polymorph: 384 meV per atom
* energy of formation from the pure elements: 0.36 eV/f.u.

Per-record M_tot, μB/atom: 0.0000; 0.0000; 0.5368; 0.0010; 0.9044; 0.1685; 0.0000; 0.3635; 0.0000; 1.5404; 0.0000; 0.0000